(1)
A plane-wave DFT calculation with PBE was carried out for an optimized crystal structure of OsPt3Rh.

- DOS(E_F): 6.3 states/eV/cell
- Final energy: -5.720 eV per atom
- Energy relative to the elements: 1.6209 eV/atom

Lattice parameters (Å, degrees): 4.7647 4.7647 4.7647 90.00 90.00 90.00
Atoms (fractional coordinates):
Pt  0.0000  0.5000  0.0000
Pt  0.5000  0.0000  0.0000
Pt  0.0000  0.0000  0.5000
Os  0.0000  0.0000  0.0000
Rh  0.5000  0.5000  0.5000

---

(2)
A plane-wave DFT calculation with PBE was carried out for an optimized crystal structure of Ru3WC.

- DOS(E_F): 5.2 states/eV/cell
- Final energy: -7.036 eV per atom
- Energy relative to the elements: 2.9652 eV/atom

Lattice parameters (Å, degrees): 4.6852 4.6852 4.6852 90.00 90.00 90.00
Last column: magnetic moment on the atom in μB.
Atoms (fractional coordinates):
W  0.0000  0.0000  0.0000  -0.21
Ru  0.0000  0.0000  0.5000  0.90
Ru  0.0000  0.5000  0.0000  0.98
Ru  0.5000  0.0000  0.0000  0.75
C  0.5000  0.5000  0.5000  -0.33